No. 1
Compound: ZnCu2Ag
Source: OQMD via LeMat-Bulk
Functional: PBE
Structure: relaxed

a b c (Å): 5.4198 5.4198 4.3671
angles (deg): 90.00 90.00 119.79
Sites, in units of the cell vectors:
Cu: 0.8216 0.6621 0.2500
Cu: 0.1784 0.3379 0.7500
Cu: 0.3379 0.1784 0.2500
Cu: 0.6621 0.8216 0.7500
Zn: 0.6600 0.3400 0.7500
Zn: 0.3400 0.6600 0.2500
Ag: 0.1652 0.8348 0.7500
Ag: 0.8348 0.1652 0.2500

Output
Symmetry: Cmcm, No. 63
Formation enthalpy at 0 K (eV per formula unit): -0.02


No. 2
Compound: Zr2CuAg
Source: OQMD via LeMat-Bulk
Functional: PBE
Structure: relaxed

a b c (Å): 4.8180 6.5161 4.8491
angles (deg): 90.00 90.00 90.00
Sites, in units of the cell vectors:
Zr: 0.5000 0.3528 0.5002
Zr: 0.5000 0.6472 0.0002
Zr: 0.0000 0.3476 0.9998
Zr: 0.0000 0.6524 0.4998
Ag: 0.5000 0.8956 0.5005
Ag: 0.5000 0.1044 0.0005
Cu: 0.0000 0.8883 0.9995
Cu: 0.0000 0.1117 0.4995

Output
Spin magnetization (μB per atom): 0.00
Symmetry: Pmma, No. 51
Offset from the most stable computed form (meV per atom): 0
Formation enthalpy at 0 K (eV per formula unit): -0.39


No. 3
Compound: Zr2CuAg2
Source: OQMD via LeMat-Bulk
Functional: PBE
Structure: relaxed

a b c (Å): 3.7537 3.7537 7.5568
angles (deg): 104.38 104.38 90.00
Site moments in Bohr magnetons follow the coordinates.
Sites, in units of the cell vectors:
Zr: 0.5903 0.5903 0.1805  0.53
Zr: 0.4097 0.4097 0.8195  0.53
Ag: 0.2500 0.7500 0.5000  0.03
Ag: 0.7500 0.2500 0.5000  0.03
Cu: 0.0000 0.0000 0.0000  0.02

Output
Spin magnetization (μB per atom): 0.29
Symmetry: I4/mmm, No. 139
Formation enthalpy at 0 K (eV per formula unit): 2.20


No. 4
Compound: ZrCuAg2
Source: OQMD via LeMat-Bulk
Functional: PBE
Structure: relaxed

a b c (Å): 4.6191 4.6191 4.6191
angles (deg): 60.00 60.00 60.00
Sites, in units of the cell vectors:
Zr: 0.5000 0.5000 0.5000
Cu: 0.2500 0.2500 0.2500
Ag: 0.0000 0.0000 0.0000
Ag: 0.7500 0.7500 0.7500

Output
Spin magnetization (μB per atom): 0.00
Symmetry: F-43m, No. 216
Formation enthalpy at 0 K (eV per formula unit): -0.02


No. 5
Compound: Zr4CuAg
Source: OQMD via LeMat-Bulk
Functional: PBE
Structure: relaxed

a b c (Å): 3.2474 3.2474 11.6074
angles (deg): 90.00 90.00 90.00
Sites, in units of the cell vectors:
Zr: 0.5000 0.5000 0.8533
Zr: 0.5000 0.5000 0.1467
Zr: 0.0000 0.0000 0.6706
Zr: 0.0000 0.0000 0.3294
Cu: 0.0000 0.0000 0.0000
Ag: 0.5000 0.5000 0.5000

Output
Spin magnetization (μB per atom): 0.00
Symmetry: P4/mmm, No. 123
Formation enthalpy at 0 K (eV per formula unit): -0.74


No. 6
Compound: DyEr2Ag3
Source: OQMD via LeMat-Bulk
Functional: PBE
Structure: relaxed

a b c (Å): 3.5872 3.5872 10.8798
angles (deg): 90.00 90.00 90.00
Sites, in units of the cell vectors:
Er: 0.5000 0.5000 0.8344
Er: 0.5000 0.5000 0.1656
Ag: 0.0000 0.0000 0.6697
Ag: 0.0000 0.0000 0.3303
Ag: 0.0000 0.0000 0.0000
Dy: 0.5000 0.5000 0.5000

Output
Spin magnetization (μB per atom): 0.00
Symmetry: P4/mmm, No. 123
Formation enthalpy at 0 K (eV per formula unit): -2.05


No. 7
Compound: Dy4ErAg5
Source: OQMD via LeMat-Bulk
Functional: PBE
Structure: relaxed

a b c (Å): 3.6127 3.6127 18.1118
angles (deg): 90.00 90.00 90.00
Sites, in units of the cell vectors:
Dy: 0.0000 0.0000 0.6003
Dy: 0.0000 0.0000 0.8011
Dy: 0.0000 0.0000 0.3997
Dy: 0.0000 0.0000 0.1989
Ag: 0.5000 0.5000 0.2994
Ag: 0.5000 0.5000 0.5000
Ag: 0.5000 0.5000 0.0979
Ag: 0.5000 0.5000 0.9021
Ag: 0.5000 0.5000 0.7006
Er: 0.0000 0.0000 0.0000

Output
Spin magnetization (μB per atom): 0.00
Symmetry: P4/mmm, No. 123
Formation enthalpy at 0 K (eV per formula unit): -3.37


No. 8
Compound: Dy3Er2Ag
Source: OQMD via LeMat-Bulk
Functional: PBE
Structure: relaxed

a b c (Å): 6.2916 6.2916 5.6893
angles (deg): 90.00 90.00 120.02
Sites, in units of the cell vectors:
Er: 0.6666 0.3334 0.0000
Er: 0.3334 0.6666 0.0000
Dy: 0.5000 0.0000 0.5000
Dy: 0.5000 0.5000 0.5000
Dy: 0.0000 0.5000 0.5000
Ag: 0.0000 0.0000 0.0000

Output
Spin magnetization (μB per atom): 0.00
Symmetry: P6/mmm, No. 191
Formation enthalpy at 0 K (eV per formula unit): 3.39


No. 9
Compound: DyErAg2
Source: OQMD via LeMat-Bulk
Functional: PBE
Structure: relaxed

a b c (Å): 4.7563 5.7776 5.7776
angles (deg): 37.08 90.00 90.00
Sites, in units of the cell vectors:
Er: 0.5000 0.3565 0.3565
Ag: 0.5000 0.0802 0.0802
Ag: 0.0000 0.9192 0.9192
Dy: 0.0000 0.6441 0.6441

Output
Spin magnetization (μB per atom): 0.00
Symmetry: Amm2, No. 38
Formation enthalpy at 0 K (eV per formula unit): -1.20


No. 10
Compound: DyErAg4
Source: OQMD via LeMat-Bulk
Functional: PBE
Structure: relaxed

a b c (Å): 3.7034 3.7034 9.2233
angles (deg): 90.00 90.00 90.00
Sites, in units of the cell vectors:
Ag: 0.5000 0.5000 0.8302
Ag: 0.0000 0.0000 0.6694
Ag: 0.0000 0.0000 0.3306
Ag: 0.5000 0.5000 0.1698
Er: 0.5000 0.5000 0.5000
Dy: 0.0000 0.0000 0.0000

Output
Spin magnetization (μB per atom): 0.00
Symmetry: P4/mmm, No. 123
Formation enthalpy at 0 K (eV per formula unit): -2.01


No. 11
Compound: Dy2ErAg2
Source: OQMD via LeMat-Bulk
Functional: PBE
Structure: relaxed

a b c (Å): 3.8169 3.8169 21.4434
angles (deg): 90.00 90.00 120.00
Sites, in units of the cell vectors:
Dy: 0.6667 0.3333 0.3709
Dy: 0.6667 0.3333 0.1291
Dy: 0.3333 0.6667 0.6291
Dy: 0.3333 0.6667 0.8709
Ag: 0.6667 0.3333 0.9625
Ag: 0.3333 0.6667 0.4625
Ag: 0.3333 0.6667 0.0375
Ag: 0.6667 0.3333 0.5375
Er: 0.0000 0.0000 0.7500
Er: 0.0000 0.0000 0.2500

Output
Spin magnetization (μB per atom): 0.01
Symmetry: P6_3/mmc, No. 194
Formation enthalpy at 0 K (eV per formula unit): 0.37


No. 12
Compound: DyErAg2
Source: OQMD via LeMat-Bulk
Functional: PBE
Structure: relaxed

a b c (Å): 4.7735 5.5844 7.1962
angles (deg): 90.00 90.00 90.00
Sites, in units of the cell vectors:
Er: 0.5000 0.1009 0.3142
Er: 0.5000 0.8991 0.8142
Ag: 0.0000 0.0972 0.0357
Ag: 0.0000 0.9028 0.5357
Ag: 0.5000 0.6011 0.4643
Ag: 0.5000 0.3989 0.9643
Dy: 0.0000 0.4002 0.6858
Dy: 0.0000 0.5998 0.1858

Output
Spin magnetization (μB per atom): 0.00
Symmetry: Pmc2_1, No. 26
Formation enthalpy at 0 K (eV per formula unit): -1.20


No. 13
Compound: DyErGa2Ag2
Source: OQMD via LeMat-Bulk
Functional: PBE
Structure: relaxed

a b c (Å): 4.5816 4.5816 6.9865
angles (deg): 90.00 90.00 120.00
Sites, in units of the cell vectors:
Dy: 0.0000 0.0000 0.0000
Er: 0.0000 0.0000 0.5000
Ag: 0.6667 0.3333 0.2395
Ag: 0.6667 0.3333 0.7605
Ga: 0.3333 0.6667 0.2843
Ga: 0.3333 0.6667 0.7157

Output
Spin magnetization (μB per atom): 0.00
Symmetry: P-6m2, No. 187
E_tot (eV/atom): -3.9813


No. 14
Compound: Dy2ErGa3AgIr2
Source: OQMD via LeMat-Bulk
Functional: PBE
Structure: relaxed

a b c (Å): 3.8467 7.2984 7.2984
angles (deg): 119.75 90.00 90.00
Sites, in units of the cell vectors:
Ag: 0.0000 0.0013 0.0013
Dy: 0.0000 0.0000 0.5894
Dy: 0.0000 0.5894 0.0000
Ir: 0.5000 0.6649 0.3339
Ir: 0.5000 0.3339 0.6649
Er: 0.0000 0.4105 0.4105
Ga: 0.5000 0.7275 0.7275
Ga: 0.5000 0.0008 0.2718
Ga: 0.5000 0.2718 0.0008

Output
Spin magnetization (μB per atom): 0.00
Symmetry: Amm2, No. 38
E_tot (eV/atom): -5.5386


No. 15
Compound: DyEr2Ga3AgPt2
Source: OQMD via LeMat-Bulk
Functional: PBE
Structure: relaxed

a b c (Å): 3.6939 7.5031 7.5031
angles (deg): 120.12 90.00 90.00
Sites, in units of the cell vectors:
Pt: 0.5000 0.3319 0.6673
Pt: 0.5000 0.6673 0.3319
Ga: 0.5000 0.0006 0.7289
Ga: 0.5000 0.7289 0.0006
Ga: 0.5000 0.2706 0.2706
Er: 0.0000 0.4080 0.0000
Er: 0.0000 0.0000 0.4080
Ag: 0.0000 0.0008 0.0008
Dy: 0.0000 0.5921 0.5921

Output
Spin magnetization (μB per atom): 0.00
Symmetry: Amm2, No. 38
E_tot (eV/atom): -5.0920


No. 16
Compound: Dy2ErGa3AgPt2
Source: OQMD via LeMat-Bulk
Functional: PBE
Structure: relaxed

a b c (Å): 3.7138 7.5018 7.5018
angles (deg): 119.92 90.00 90.00
Sites, in units of the cell vectors:
Ga: 0.5000 0.7291 0.9993
Ga: 0.5000 0.9993 0.7291
Ga: 0.5000 0.2713 0.2713
Ag: 0.0000 0.9991 0.9991
Dy: 0.0000 0.4083 0.0001
Dy: 0.0000 0.0001 0.4083
Pt: 0.5000 0.6660 0.3350
Pt: 0.5000 0.3350 0.6660
Er: 0.0000 0.5918 0.5918

Output
Spin magnetization (μB per atom): 0.00
Symmetry: Amm2, No. 38
E_tot (eV/atom): -5.0937


No. 17
Compound: Dy2ErAg4Ge4
Source: OQMD via LeMat-Bulk
Functional: PBE
Structure: relaxed

a b c (Å): 8.3629 8.3629 8.3629
angles (deg): 149.95 129.53 59.87
Sites, in units of the cell vectors:
Dy: 0.3743 0.8743 0.5000
Dy: 0.6257 0.1257 0.5000
Er: 0.0000 0.0000 0.0000
Ge: 0.6847 0.5000 0.1847
Ge: 0.2160 0.2160 0.0000
Ge: 0.7840 0.7840 0.0000
Ge: 0.3153 0.5000 0.8153
Ag: 0.6326 0.3306 0.3019
Ag: 0.9713 0.6694 0.3019
Ag: 0.3674 0.6694 0.6980
Ag: 0.0287 0.3306 0.6980

Output
Spin magnetization (μB per atom): 0.00
Symmetry: Immm, No. 71
E_tot (eV/atom): -4.4711


No. 18
Compound: DyEr2Mg3AgHg2
Source: OQMD via LeMat-Bulk
Functional: PBE
Structure: relaxed

a b c (Å): 4.1228 7.7626 7.7626
angles (deg): 120.07 90.00 90.00
Sites, in units of the cell vectors:
Mg: 0.5000 0.9999 0.2461
Mg: 0.5000 0.7540 0.7540
Mg: 0.5000 0.2461 0.9999
Hg: 0.5000 0.6670 0.3332
Hg: 0.5000 0.3332 0.6670
Er: 0.0000 0.5904 0.0000
Er: 0.0000 0.0000 0.5904
Dy: 0.0000 0.4098 0.4098
Ag: 0.0000 0.9998 0.9998

Output
Spin magnetization (μB per atom): 0.00
Symmetry: Amm2, No. 38
E_tot (eV/atom): -2.7868


No. 19
Compound: DyEr2In3Ag3
Source: OQMD via LeMat-Bulk
Functional: PBE
Structure: relaxed

a b c (Å): 3.8932 7.8327 7.8327
angles (deg): 120.07 90.00 90.00
Sites, in units of the cell vectors:
In: 0.5000 0.0003 0.7352
In: 0.5000 0.2651 0.2651
In: 0.5000 0.7352 0.0003
Er: 0.0000 0.4024 0.9998
Er: 0.0000 0.9998 0.4024
Ag: 0.5000 0.3321 0.6673
Ag: 0.5000 0.6673 0.3321
Ag: 0.0000 0.0008 0.0008
Dy: 0.0000 0.5971 0.5971

Output
Spin magnetization (μB per atom): 0.00
Symmetry: Amm2, No. 38
E_tot (eV/atom): -3.8011


No. 20
Compound: DyEr2In3AgIr2
Source: OQMD via LeMat-Bulk
Functional: PBE
Structure: relaxed

a b c (Å): 3.8054 7.7126 7.7126
angles (deg): 120.13 90.00 90.00
Sites, in units of the cell vectors:
In: 0.5000 0.7322 0.7322
In: 0.5000 0.2688 0.9992
In: 0.5000 0.9992 0.2688
Dy: 0.0000 0.4125 0.4125
Ir: 0.5000 0.6680 0.3329
Ir: 0.5000 0.3329 0.6680
Er: 0.0000 0.0000 0.5873
Er: 0.0000 0.5873 0.0000
Ag: 0.0000 0.9992 0.9992

Output
Spin magnetization (μB per atom): 0.00
Symmetry: Amm2, No. 38
E_tot (eV/atom): -5.3329